Density functional theory data (PBE-GGA) for a geometry-optimized In2AsN2 structure.

a = 4.4749 Å, b = 4.4749 Å, c = 9.5081 Å
α = 90.00°, β = 90.00°, γ = 90.00°
Fractional coordinates of all 10 atoms:
In1 0.0000 0.5000 0.2500
In2 0.0000 0.5000 0.7500
In3 0.5000 0.0000 0.2500
In4 0.5000 0.0000 0.7500
As1 0.0000 0.0000 0.0000
As2 0.5000 0.5000 0.5000
N1 0.0000 0.0000 0.2439
N2 0.0000 0.0000 0.7561
N3 0.5000 0.5000 0.2561
N4 0.5000 0.5000 0.7439

Calculated values
Theoretical density (g cm⁻³): 5.8
DOS(E_F) (states/eV/atom): 0.62
E (eV per atom): -4.55
Raw formation energy (eV per formula unit): 4.04
Total magnetic moment (μB per formula unit): 0.00
Energy above the most stable polymorph in this dataset (meV/atom): 9